Below is Sr3HgPb3 after structural relaxation, with properties calculated at the PBE-GGA level.

Summary:
As for the symmetry: C2/m, No. 12. The value obtained for the density of states at the Fermi level is 0.357 states/eV/atom. As for the formation energy from the elements: -48.9 kJ per mole of atoms.

a = 6.6293 Å, b = 6.6293 Å, c = 16.4435 Å
α = 108.13°, β = 108.13°, γ = 45.67°
Fractional positions:
1 Sr 0.0404 0.0404 0.3810
2 Sr 0.0967 0.0967 0.9219
3 Sr 0.2390 0.2390 0.2272
4 Sr 0.7610 0.7610 0.7728
5 Sr 0.9033 0.9033 0.0781
6 Sr 0.9596 0.9596 0.6190
7 Hg 0.2434 0.2434 0.6255
8 Hg 0.7566 0.7566 0.3745
9 Pb 0.3605 0.3605 0.4677
10 Pb 0.3802 0.3802 0.9249
11 Pb 0.4760 0.4760 0.7705
12 Pb 0.5240 0.5240 0.2295
13 Pb 0.6198 0.6198 0.0751
14 Pb 0.6395 0.6395 0.5323

Below is InTeIO2 after structural relaxation, with properties calculated at the PBE-GGA level.

Summary:
As for the symmetry: P4/mmm, No. 123. The value obtained for the density of states at the Fermi level is 0.901 states/eV/atom. The uncorrected formation energy comes out at -0.032 eV per atom. For the energy above the most stable polymorph in this dataset, the calculation gives 260.1 meV/atom.

a = 4.3397 Å, b = 4.3397 Å, c = 6.2971 Å
α = 90.00°, β = 90.00°, γ = 90.00°
Fractional positions:
1 In 0.0000 0.0000 0.0000
2 Te 0.5000 0.5000 0.5000
3 I 0.0000 0.0000 0.5000
4 O 0.0000 0.5000 0.0000
5 O 0.5000 0.0000 0.0000